Record 1
Compound: Ac5AgPb3
Source: the Open Quantum Materials Database
Functional: PBE
Structure: relaxed Values from VASP.

Properties
Uncorrected energy = -4.1257 eV/atom

```
&SYSTEM
  ibrav = 0, nat = 9, ntyp = 3
/
ATOMIC_SPECIES
Ac 227.00 Ac.upf
Ag 107.87 Ag.upf
Pb 207.20 Pb.upf
CELL_PARAMETERS angstrom
9.6892 0.0000 0.0000
-4.8446 8.3911 0.0000
0.0000 0.0000 3.9195
ATOMIC_POSITIONS angstrom
Ac -1.2300 2.1305 0.0000
Ac 2.4601 0.0000 0.0000
Ac 0.0000 5.5941 0.0000
Ac 4.8446 2.7970 0.0000
Ac 3.6146 6.2606 0.0000
Ag 0.0000 0.0000 1.9598
Pb -2.9828 5.1664 1.9598
Pb 1.8618 3.2247 1.9598
Pb 5.9656 0.0000 1.9598
```

---

Record 2
Compound: AcAgPb
Source: the Open Quantum Materials Database
Functional: PBE
Structure: relaxed Values from VASP.

Properties
Energy above the lowest structure with this stoichiometry = 511 meV/atom

```
&SYSTEM
  ibrav = 0, nat = 12, ntyp = 3
/
ATOMIC_SPECIES
Ac 227.00 Ac.upf
Ag 107.87 Ag.upf
Pb 207.20 Pb.upf
CELL_PARAMETERS angstrom
7.5954 0.0000 0.0000
0.0000 7.5954 0.0000
0.0000 0.0000 7.5954
ATOMIC_POSITIONS angstrom
Ac 0.0000 0.0000 0.0000
Ac 0.0000 3.7977 3.7977
Ac 3.7977 0.0000 3.7977
Ac 3.7977 3.7977 0.0000
Ag 1.8989 1.8989 5.6966
Ag 1.8989 5.6966 1.8989
Ag 5.6966 1.8989 1.8989
Ag 5.6966 5.6966 5.6966
Pb 1.8989 1.8989 1.8989
Pb 1.8989 5.6966 5.6966
Pb 5.6966 1.8989 5.6966
Pb 5.6966 5.6966 1.8989
```

---

Record 3
Compound: Ac3Ag4Pb2
Source: the Open Quantum Materials Database
Functional: PBE
Structure: relaxed Values from VASP.

Properties
Uncorrected energy = -3.8397 eV/atom

```
&SYSTEM
  ibrav = 0, nat = 9, ntyp = 3
/
ATOMIC_SPECIES
Ac 227.00 Ac.upf
Ag 107.87 Ag.upf
Pb 207.20 Pb.upf
CELL_PARAMETERS angstrom
5.9531 -2.4683 0.0000
5.9531 2.4683 0.0000
-3.6399 0.0000 8.9291
ATOMIC_POSITIONS angstrom
Ac 0.0000 0.0000 0.0000
Ac 2.8940 0.0000 2.9062
Ac 5.3723 0.0000 6.0229
Ag -0.6421 0.0000 3.6881
Ag -0.1249 0.0000 8.5309
Ag 8.3912 0.0000 0.3981
Ag 8.9084 0.0000 5.2410
Pb 1.8898 0.0000 6.3901
Pb 6.3764 0.0000 2.5390
```

---

Record 4
Compound: Ac2AgPb2
Source: the Open Quantum Materials Database
Functional: PBE
Structure: relaxed Values from VASP.

Properties
Uncorrected energy = -4.1544 eV/atom

```
&SYSTEM
  ibrav = 0, nat = 10, ntyp = 3
/
ATOMIC_SPECIES
Ac 227.00 Ac.upf
Ag 107.87 Ag.upf
Pb 207.20 Pb.upf
CELL_PARAMETERS angstrom
6.1674 -2.4801 0.0000
6.1674 2.4801 0.0000
-5.4903 0.0000 10.7013
ATOMIC_POSITIONS angstrom
Ac -1.6936 0.0000 3.5705
Ac 1.6816 0.0000 1.1703
Ac 5.1630 0.0000 9.5310
Ac 8.5382 0.0000 7.1308
Ag -0.1154 0.0000 7.0832
Ag 6.9600 0.0000 3.6181
Pb 1.9053 0.0000 4.6727
Pb 5.1550 0.0000 1.2431
Pb 1.6896 0.0000 9.4582
Pb 4.9392 0.0000 6.0286
```

---

Record 5
Compound: AcAg2Pd
Source: the Open Quantum Materials Database
Functional: PBE
Structure: relaxed Values from VASP.

Properties
E_form = -0.454 eV per atom

```
&SYSTEM
  ibrav = 0, nat = 8, ntyp = 3
/
ATOMIC_SPECIES
Ac 227.00 Ac.upf
Ag 107.87 Ag.upf
Pd 106.42 Pd.upf
CELL_PARAMETERS angstrom
4.5653 0.0000 0.0000
0.0000 7.7450 0.0000
-2.2830 0.0000 5.2154
ATOMIC_POSITIONS angstrom
Ac 0.0013 1.9363 0.8096
Ac 2.2811 5.8088 4.4058
Ag -0.0035 0.4552 3.8216
Ag -0.0035 3.4174 3.8216
Ag 2.2859 4.3277 1.3938
Ag 2.2859 7.2899 1.3938
Pd 0.0048 5.8088 2.2241
Pd 2.2775 1.9363 2.9913
```

---

Record 6
Compound: AcAgPd
Source: the Open Quantum Materials Database
Functional: PBE
Structure: relaxed Values from VASP.

Properties
Energy above the lowest structure with this stoichiometry = 120 meV/atom
E_form = -0.476 eV per atom

```
&SYSTEM
  ibrav = 0, nat = 12, ntyp = 3
/
ATOMIC_SPECIES
Ac 227.00 Ac.upf
Ag 107.87 Ag.upf
Pd 106.42 Pd.upf
CELL_PARAMETERS angstrom
6.9348 0.0000 0.0000
0.0000 6.9348 0.0000
0.0000 0.0000 6.9348
ATOMIC_POSITIONS angstrom
Ac 0.0000 0.0000 0.0000
Ac 0.0000 3.4674 3.4674
Ac 3.4674 0.0000 3.4674
Ac 3.4674 3.4674 0.0000
Ag 0.0000 0.0000 3.4674
Ag 0.0000 3.4674 0.0000
Ag 3.4674 0.0000 0.0000
Ag 3.4674 3.4674 3.4674
Pd 1.7337 1.7337 1.7337
Pd 1.7337 5.2011 5.2011
Pd 5.2011 1.7337 5.2011
Pd 5.2011 5.2011 1.7337
```

---

Ordered magnetic moment results: 0.05; 0.00; 0.01; 0.32; 0.01; 0.00; unit μB/f.u..